Compound: Tb5NdSb4
Source: the Alexandria database
Functional: PBE
Structure: relaxed

calculated total energy	-51.83	eV per cell
space group	C2/m, No. 12
DOS(E_F)	0.56	states/eV per atom
size of the total moment	0.0	μB/f.u.
formation energy without anion corrections	-7.42	eV per formula unit

a b c (Å): 9.679 9.679 8.535
angles (deg): 105.74 105.74 26.01
Element x y z (fractional)
Tb  0.000  0.000  0.000
Tb  0.322  0.322  0.151
Tb  0.339  0.339  0.672
Tb  0.661  0.661  0.328
Tb  0.678  0.678  0.849
Nd  0.000  0.000  0.500
Sb  0.172  0.172  0.591
Sb  0.491  0.491  0.236
Sb  0.509  0.509  0.764
Sb  0.828  0.828  0.409

Compound: TbNd5Sb6
Source: the Alexandria database
Functional: PBE
Structure: relaxed

calculated total energy	-67.36	eV per cell
space group	C2/m, No. 12
DOS(E_F)	0.15	states/eV per atom
size of the total moment	0.0	μB/f.u.
formation energy without anion corrections	-14.16	eV per formula unit

a b c (Å): 7.804 7.804 7.804
angles (deg): 99.61 99.61 120.01
Element x y z (fractional)
Tb  0.000  0.000  0.000
Nd  0.168  0.832  0.500
Nd  0.334  0.666  0.000
Nd  0.500  0.500  0.500
Nd  0.666  0.334  0.000
Nd  0.832  0.168  0.500
Sb  0.082  0.411  0.247
Sb  0.246  0.246  0.752
Sb  0.411  0.082  0.247
Sb  0.589  0.918  0.753
Sb  0.754  0.754  0.248
Sb  0.918  0.589  0.753

Compound: Tb4NdSb5
Source: the Alexandria database
Functional: PBE
Structure: relaxed

calculated total energy	-55.44	eV per cell
space group	Immm, No. 71
DOS(E_F)	0.20	states/eV per atom
size of the total moment	0.0	μB/f.u.
formation energy without anion corrections	-11.54	eV per formula unit

a b c (Å): 11.708 11.708 11.708
angles (deg): 158.20 148.98 38.24
Element x y z (fractional)
Tb  0.100  0.100  0.000
Tb  0.299  0.299  0.000
Tb  0.701  0.701  0.000
Tb  0.900  0.900  0.000
Nd  0.500  0.500  0.000
Sb  0.000  0.500  0.500
Sb  0.200  0.700  0.500
Sb  0.397  0.897  0.500
Sb  0.603  0.103  0.500
Sb  0.800  0.300  0.500

Compound: Tb3NdSb2
Source: the Alexandria database
Functional: PBE
Structure: relaxed

calculated total energy	-62.31	eV per cell
space group	C2/m, No. 12
DOS(E_F)	1.09	states/eV per atom
size of the total moment	0.3	μB/f.u.
formation energy without anion corrections	-4.25	eV per formula unit

a b c (Å): 9.484 9.484 9.774
angles (deg): 113.53 113.53 26.71
Element x y z (fractional)
Tb  0.057  0.057  0.176
Tb  0.312  0.312  0.609
Tb  0.355  0.355  0.024
Tb  0.645  0.645  0.976
Tb  0.688  0.688  0.391
Tb  0.943  0.943  0.824
Nd  0.111  0.111  0.621
Nd  0.889  0.889  0.379
Sb  0.246  0.246  0.216
Sb  0.489  0.489  0.655
Sb  0.511  0.511  0.345
Sb  0.754  0.754  0.784

Compound: TbNd3Sb4
Source: the Alexandria database
Functional: PBE
Structure: relaxed

calculated total energy	-89.65	eV per cell
space group	Cmmm, No. 65
DOS(E_F)	0.12	states/eV per atom
size of the total moment	0.0	μB/f.u.
formation energy without anion corrections	-9.40	eV per formula unit

a b c (Å): 8.986 12.712 4.498
angles (deg): 90.00 90.00 90.00
Element x y z (fractional)
Tb  0.000  0.000  0.000
Tb  0.500  0.500  0.000
Nd  0.000  0.500  0.000
Nd  0.250  0.250  0.500
Nd  0.250  0.750  0.500
Nd  0.500  0.000  0.000
Nd  0.750  0.250  0.500
Nd  0.750  0.750  0.500
Sb  0.000  0.247  0.000
Sb  0.000  0.753  0.000
Sb  0.245  0.000  0.500
Sb  0.255  0.500  0.500
Sb  0.500  0.253  0.000
Sb  0.500  0.747  0.000
Sb  0.745  0.500  0.500
Sb  0.755  0.000  0.500

Compound: TbNd2Sb
Source: the Alexandria database
Functional: PBE
Structure: relaxed

calculated total energy	-20.29	eV per cell
space group	P4/mmm, No. 123
DOS(E_F)	1.16	states/eV per atom
size of the total moment	0.0	μB/f.u.
formation energy without anion corrections	-2.00	eV per formula unit
offset from the most stable computed form	37.6	meV/atom

a b c (Å): 4.241 4.241 6.876
angles (deg): 90.00 90.00 90.00
Element x y z (fractional)
Tb  0.000  0.000  0.000
Nd  0.500  0.500  0.271
Nd  0.500  0.500  0.729
Sb  0.000  0.000  0.500

Compound: Tb5Nd2Sb4
Source: the Alexandria database
Functional: PBE
Structure: relaxed

calculated total energy	-53.93	eV per cell
space group	C2/m, No. 12
DOS(E_F)	0.91	states/eV per atom
size of the total moment	1.9	μB/f.u.
formation energy without anion corrections	-4.75	eV per formula unit

a b c (Å): 12.727 12.727 7.185
angles (deg): 95.27 95.27 19.45
Element x y z (fractional)
Tb  0.000  0.000  0.000
Tb  0.321  0.321  0.531
Tb  0.330  0.330  0.025
Tb  0.670  0.670  0.975
Tb  0.679  0.679  0.469
Nd  0.445  0.445  0.343
Nd  0.555  0.555  0.657
Sb  0.226  0.226  0.230
Sb  0.430  0.430  0.781
Sb  0.570  0.570  0.219
Sb  0.774  0.774  0.770

Compound: TbNd2Sb
Source: the Alexandria database
Functional: PBE
Structure: relaxed

calculated total energy	-78.14	eV per cell
space group	Fm-3m, No. 225
DOS(E_F)	0.55	states/eV per atom
size of the total moment	0.0	μB/f.u.
formation energy without anion corrections	-1.25	eV per formula unit
offset from the most stable computed form	226.3	meV/atom

a b c (Å): 7.815 7.815 7.815
angles (deg): 90.00 90.00 90.00
Element x y z (fractional)
Tb  0.000  0.000  0.000
Tb  0.000  0.500  0.500
Tb  0.500  0.000  0.500
Tb  0.500  0.500  0.000
Nd  0.250  0.250  0.250
Nd  0.250  0.250  0.750
Nd  0.250  0.750  0.250
Nd  0.250  0.750  0.750
Nd  0.750  0.250  0.250
Nd  0.750  0.250  0.750
Nd  0.750  0.750  0.250
Nd  0.750  0.750  0.750
Sb  0.000  0.000  0.500
Sb  0.000  0.500  0.000
Sb  0.500  0.000  0.000
Sb  0.500  0.500  0.500

Please write out number 6 again, unchanged.
Compound: TbNd2Sb
Source: the Alexandria database
Functional: PBE
Structure: relaxed

calculated total energy	-20.29	eV per cell
space group	P4/mmm, No. 123
DOS(E_F)	1.16	states/eV per atom
size of the total moment	0.0	μB/f.u.
formation energy without anion corrections	-2.00	eV per formula unit
offset from the most stable computed form	37.6	meV/atom

a b c (Å): 4.241 4.241 6.876
angles (deg): 90.00 90.00 90.00
Element x y z (fractional)
Tb  0.000  0.000  0.000
Nd  0.500  0.500  0.271
Nd  0.500  0.500  0.729
Sb  0.000  0.000  0.500

> Which formula does entry 1 have?

Tb5NdSb4

> What is the formula in the second record?

TbNd5Sb6